(1)
A plane-wave DFT calculation with PBE-GGA was carried out for a geometry-optimized NaTcBi2 structure.

Cell lengths 4.991, 4.991, 4.991 Å; angles 60.00, 60.00, 60.00 degrees
Element x y z (fractional)
Na: 0.000 0.000 0.000
Bi: 0.250 0.250 0.250
Bi: 0.750 0.750 0.750
Tc: 0.500 0.500 0.500

Its space-group type is No. 225. As for the formation energy: 0.323 eV/atom. The calculation puts the offset from the most stable computed form at 0.000 eV per atom.

---

(2)
A plane-wave DFT calculation with PBE-GGA was carried out for a geometry-optimized NaCu2BF structure.

Cell lengths 4.724, 4.572, 4.724 Å; angles 90.00, 90.00, 90.00 degrees
Element x y z (fractional)
Na: 0.000 0.000 0.000
B: 0.000 0.500 0.000
Cu: 0.000 0.000 0.500
Cu: 0.500 0.000 0.000
F: 0.500 0.500 0.500

Its space-group type is No. 123. The calculation puts the formation energy (no corrections) at 1575.6 meV/atom. The calculation puts the offset from the most stable computed form at 1.818 eV per atom.

---

(3)
A plane-wave DFT calculation with PBE-GGA was carried out for a geometry-optimized SbOsSe2N structure.

Cell lengths 5.150, 5.150, 3.711 Å; angles 90.00, 90.00, 90.00 degrees
Element x y z (fractional)
Sb: 0.500 0.500 0.500
Os: 0.000 0.000 0.000
Se: 0.000 0.500 0.000
Se: 0.500 0.000 0.000
N: 0.000 0.000 0.500

Its space-group type is No. 123. The calculation puts the formation energy (no corrections) at 329.3 meV/atom. The calculation puts the offset from the most stable computed form at 0.000 eV per atom.

---

(4)
A plane-wave DFT calculation with PBE-GGA was carried out for a geometry-optimized ZnNiAg2 structure.

Cell lengths 4.425, 4.425, 4.425 Å; angles 60.00, 60.00, 60.00 degrees
Element x y z (fractional)
Ag: 0.000 0.000 0.000
Ag: 0.250 0.250 0.250
Ni: 0.500 0.500 0.500
Zn: 0.750 0.750 0.750

Its space-group type is No. 216. As for the formation energy: 0.103 eV/atom.

---

(5)
A plane-wave DFT calculation with PBE-GGA was carried out for a geometry-optimized KZrAl2 structure.

Cell lengths 5.864, 5.864, 5.864 Å; angles 136.43, 136.43, 63.31 degrees
Element x y z (fractional)
K: 0.500 0.500 0.000
Al: 0.000 0.000 0.000
Al: 0.250 0.750 0.500
Zr: 0.750 0.250 0.500

Its space-group type is No. 119. As for the formation energy: 0.591 eV/atom. The calculation puts the offset from the most stable computed form at 0.595 eV per atom.

---

(6)
A plane-wave DFT calculation with PBE-GGA was carried out for a geometry-optimized GdCdInPb structure.

Cell lengths 5.353, 5.353, 5.353 Å; angles 60.00, 60.00, 60.00 degrees
Element x y z (fractional)
Pb: 0.500 0.500 0.500
Cd: 0.750 0.750 0.750
Gd: 0.250 0.250 0.250
In: 0.000 0.000 0.000

Its space-group type is No. 216. As for the formation energy: -0.184 eV/atom.

---

(7)
A plane-wave DFT calculation with PBE-GGA was carried out for a geometry-optimized Cs5I structure.

Cell lengths 9.875, 9.875, 14.494 Å; angles 107.44, 106.10, 98.80 degrees
Element x y z (fractional)
Cs: 0.217 0.338 0.965
Cs: 0.215 0.786 0.849
Cs: 0.437 0.366 0.651
Cs: 0.697 0.947 0.750
Cs: 0.127 0.748 0.465
Cs: 0.873 0.252 0.535
Cs: 0.303 0.053 0.250
Cs: 0.563 0.634 0.349
Cs: 0.785 0.214 0.151
Cs: 0.783 0.662 0.035
I: 0.000 0.000 0.000
I: 0.500 0.000 0.500

Its space-group type is No. 15. The calculation puts the formation energy (no corrections) at -457.3 meV/atom. The calculation puts the offset from the most stable computed form at 0.000 eV per atom.

---

(8)
A plane-wave DFT calculation with PBE-GGA was carried out for a geometry-optimized LiAc4Pt5 structure.

Cell lengths 5.218, 5.218, 11.154 Å; angles 76.47, 76.47, 60.00 degrees
Element x y z (fractional)
Li: 0.500 0.500 0.500
Ac: 0.890 0.890 0.330
Ac: 0.299 0.299 0.104
Ac: 0.701 0.701 0.896
Ac: 0.110 0.110 0.670
Pt: 0.404 0.404 0.789
Pt: 0.000 0.000 0.000
Pt: 0.596 0.596 0.211
Pt: 0.796 0.796 0.613
Pt: 0.204 0.204 0.387

Its space-group type is No. 166. As for the formation energy: -0.937 eV/atom.

---

(9)
A plane-wave DFT calculation with PBE-GGA was carried out for a geometry-optimized PRuSe2I structure.

Cell lengths 5.304, 5.172, 5.304 Å; angles 90.00, 90.00, 90.00 degrees
Element x y z (fractional)
I: 0.000 0.000 0.000
Ru: 0.500 0.500 0.500
Se: 0.000 0.000 0.500
Se: 0.500 0.000 0.000
P: 0.000 0.500 0.000

Its space-group type is No. 123. The calculation puts the formation energy (no corrections) at 1793.1 meV/atom.

---

(10)
A plane-wave DFT calculation with PBE-GGA was carried out for a geometry-optimized KMg2Cl structure.

Cell lengths 3.566, 3.566, 9.511 Å; angles 90.00, 90.00, 90.00 degrees
Element x y z (fractional)
Cl: 0.500 0.500 0.250
K: 0.500 0.500 0.750
Mg: 0.000 0.000 0.053
Mg: 0.000 0.000 0.447

Its space-group type is No. 123. The calculation puts the formation energy (no corrections) at -302.2 meV/atom. The calculation puts the offset from the most stable computed form at 0.319 eV per atom.

---

(11)
A plane-wave DFT calculation with PBE-GGA was carried out for a geometry-optimized Ba2Li17Zn3 structure.

Cell lengths 8.177, 8.177, 8.177 Å; angles 84.10, 84.10, 84.10 degrees
Element x y z (fractional)
Ba: 0.334 0.334 0.334
Ba: 0.666 0.666 0.666
Li: 0.500 0.000 0.000
Li: 0.000 0.000 0.500
Li: 0.000 0.500 0.000
Li: 0.000 0.737 0.263
Li: 0.737 0.263 0.000
Li: 0.263 0.000 0.737
Li: 0.263 0.737 0.000
Li: 0.737 0.000 0.263
Li: 0.000 0.263 0.737
Li: 0.172 0.669 0.669
Li: 0.669 0.669 0.172
Li: 0.669 0.172 0.669
Li: 0.828 0.331 0.331
Li: 0.331 0.331 0.828
Li: 0.331 0.828 0.331
Li: 0.092 0.092 0.092
Li: 0.908 0.908 0.908
Zn: 0.000 0.500 0.500
Zn: 0.500 0.500 0.000
Zn: 0.500 0.000 0.500

Its space-group type is No. 166. As for the formation energy: 0.023 eV/atom.

---

(12)
A plane-wave DFT calculation with PBE-GGA was carried out for a geometry-optimized NaCaAs2Se structure.

Cell lengths 5.460, 5.460, 5.471 Å; angles 90.00, 90.00, 90.00 degrees
Element x y z (fractional)
Na: 0.500 0.500 0.500
As: 0.000 0.500 0.000
As: 0.500 0.000 0.000
Ca: 0.000 0.000 0.000
Se: 0.000 0.000 0.500

Its space-group type is No. 123. The calculation puts the formation energy (no corrections) at 101.0 meV/atom. The calculation puts the offset from the most stable computed form at 0.000 eV per atom.

---

(13)
A plane-wave DFT calculation with PBE-GGA was carried out for a geometry-optimized BePNF2 structure.

Cell lengths 3.073, 3.073, 6.426 Å; angles 90.00, 90.00, 90.00 degrees
Element x y z (fractional)
P: 0.500 0.500 0.500
N: 0.000 0.000 0.500
Be: 0.000 0.000 0.000
F: 0.000 0.500 0.000
F: 0.500 0.000 0.000

Its space-group type is No. 123. The calculation puts the formation energy (no corrections) at -948.2 meV/atom. The calculation puts the offset from the most stable computed form at 0.000 eV per atom.

---

(14)
A plane-wave DFT calculation with PBE-GGA was carried out for a geometry-optimized Ba3SrSb6 structure.

Cell lengths 9.278, 9.278, 9.278 Å; angles 99.82, 99.82, 99.82 degrees
Element x y z (fractional)
Ba: 0.179 0.750 0.321
Ba: 0.321 0.179 0.750
Ba: 0.250 0.679 0.821
Ba: 0.750 0.321 0.179
Ba: 0.679 0.821 0.250
Ba: 0.821 0.250 0.679
Sr: 0.000 0.000 0.000
Sr: 0.500 0.500 0.500
Sb: 0.912 0.615 0.985
Sb: 0.015 0.088 0.385
Sb: 0.115 0.412 0.485
Sb: 0.385 0.015 0.088
Sb: 0.412 0.485 0.115
Sb: 0.515 0.885 0.588
Sb: 0.485 0.115 0.412
Sb: 0.588 0.515 0.885
Sb: 0.615 0.985 0.912
Sb: 0.885 0.588 0.515
Sb: 0.985 0.912 0.615
Sb: 0.088 0.385 0.015

Its space-group type is No. 167. The calculation puts the formation energy (no corrections) at -712.6 meV/atom.

---

(15)
A plane-wave DFT calculation with PBE-GGA was carried out for a geometry-optimized Ti7GaSb2H2 structure.

Cell lengths 3.970, 3.970, 11.914 Å; angles 79.79, 79.79, 89.97 degrees
Element x y z (fractional)
Ti: 0.500 0.500 0.000
Ti: 0.284 0.284 0.402
Ti: 0.716 0.716 0.598
Ti: 0.906 0.405 0.178
Ti: 0.405 0.906 0.178
Ti: 0.595 0.094 0.822
Ti: 0.094 0.595 0.822
Ga: 0.000 0.000 0.000
Sb: 0.809 0.809 0.358
Sb: 0.191 0.191 0.642
H: 0.589 0.589 0.832
H: 0.411 0.411 0.168

Its space-group type is No. 12. As for the raw total energy: -6.590 eV/atom.

---

(16)
A plane-wave DFT calculation with PBE-GGA was carried out for a geometry-optimized DyHgPb2 structure.

Cell lengths 3.558, 3.558, 11.411 Å; angles 81.03, 81.03, 60.00 degrees
Element x y z (fractional)
Pb: 0.093 0.093 0.722
Pb: 0.907 0.907 0.278
Hg: 0.500 0.500 0.500
Dy: 0.000 0.000 0.000

Its space-group type is No. 166. As for the formation energy: 0.106 eV/atom.

---

(17)
A plane-wave DFT calculation with PBE-GGA was carried out for a geometry-optimized Li2RePN4 structure.

Cell lengths 4.625, 4.626, 5.353 Å; angles 115.59, 115.58, 90.03 degrees
Element x y z (fractional)
Li: 0.486 0.986 0.972
Li: 0.236 0.236 0.472
Re: 0.736 0.736 0.472
P: 0.986 0.486 0.972
N: 0.686 0.605 0.747
N: 0.867 0.411 0.197
N: 0.330 0.786 0.197
N: 0.061 0.142 0.747

Its space-group type is No. 82. The calculation puts the formation energy (no corrections) at -353.0 meV/atom.

---

(18)
A plane-wave DFT calculation with PBE-GGA was carried out for a geometry-optimized Ba2ZrCo structure.

Cell lengths 12.060, 12.060, 8.842 Å; angles 47.00, 47.00, 90.00 degrees
Element x y z (fractional)
Co: 0.500 0.500 0.000
Co: 0.250 0.750 0.500
Ba: 0.457 0.125 0.250
Ba: 0.293 0.625 0.250
Ba: 0.375 0.543 0.750
Ba: 0.875 0.707 0.750
Zr: 0.000 0.000 0.000
Zr: 0.750 0.250 0.500

Its space-group type is No. 122. As for the formation energy: 0.547 eV/atom. The calculation puts the offset from the most stable computed form at 0.293 eV per atom.

---

(19)
A plane-wave DFT calculation with PBE-GGA was carried out for a geometry-optimized NaBeIr3 structure.

Cell lengths 4.210, 4.210, 4.210 Å; angles 90.00, 90.00, 90.00 degrees
Element x y z (fractional)
Na: 0.500 0.500 0.500
Ir: 0.000 0.500 0.000
Ir: 0.000 0.000 0.500
Ir: 0.500 0.000 0.000
Be: 0.000 0.000 0.000

Its space-group type is No. 221. As for the formation energy: 0.490 eV/atom. The calculation puts the offset from the most stable computed form at 0.000 eV per atom.

---

(20)
A plane-wave DFT calculation with PBE-GGA was carried out for a geometry-optimized Er2Ga5Au3 structure.

Cell lengths 5.989, 8.648, 8.648 Å; angles 80.27, 69.74, 69.74 degrees
Element x y z (fractional)
Er: 0.123 0.627 0.127
Er: 0.623 0.127 0.627
Er: 0.877 0.373 0.873
Er: 0.377 0.873 0.373
Ga: 0.377 0.263 0.983
Ga: 0.877 0.983 0.263
Ga: 0.623 0.737 0.017
Ga: 0.123 0.017 0.737
Ga: 0.496 0.754 0.754
Ga: 0.504 0.246 0.246
Ga: 0.750 0.500 0.500
Ga: 0.250 0.500 0.500
Ga: 0.004 0.246 0.246
Ga: 0.996 0.754 0.754
Au: 0.372 0.490 0.767
Au: 0.872 0.767 0.490
Au: 0.628 0.510 0.233
Au: 0.128 0.233 0.510
Au: 0.250 0.000 0.000
Au: 0.750 0.000 0.000

Its space-group type is No. 72. As for the formation energy: -0.550 eV/atom. The calculation puts the offset from the most stable computed form at 0.035 eV per atom.